Entry 1:
Density functional theory data (PBE-GGA) for an optimized crystal structure of Li5InHg6.

Calculated formation energy (eV/atom): -0.316
Spin magnetization (μB per cell): 0.00
Raw total energy (eV/cell): -17.91

a = 7.530 Å, b = 7.530 Å, c = 6.985 Å
α = 90.09°, β = 90.09°, γ = 143.28°
Fractional positions:
Li 0.000 0.000 0.000
Li 0.333 0.667 0.000
Li 0.340 0.660 0.500
Li 0.660 0.340 0.500
Li 0.667 0.333 0.000
In 0.000 0.000 0.500
Hg 0.175 0.823 0.757
Hg 0.177 0.825 0.243
Hg 0.499 0.499 0.775
Hg 0.501 0.501 0.225
Hg 0.823 0.175 0.757
Hg 0.825 0.177 0.243

=====

Entry 2:
Density functional theory data (PBE-GGA) for an optimized crystal structure of SrSb3Rh5.

Spin magnetization (μB per cell): 0.00
Raw total energy (eV/cell): -111.00
Energy relative to the elements, uncorrected (eV/atom): -0.52

a = 7.044 Å, b = 7.044 Å, c = 13.055 Å
α = 90.00°, β = 90.00°, γ = 145.26°
Fractional positions:
Sr 0.189 0.811 0.750
Sr 0.811 0.189 0.250
Sb 0.092 0.908 0.250
Sb 0.380 0.620 0.047
Sb 0.380 0.620 0.453
Sb 0.620 0.380 0.547
Sb 0.620 0.380 0.953
Sb 0.908 0.092 0.750
Rh 0.000 0.000 0.000
Rh 0.000 0.000 0.500
Rh 0.193 0.807 0.070
Rh 0.193 0.807 0.430
Rh 0.445 0.555 0.639
Rh 0.445 0.555 0.861
Rh 0.555 0.445 0.139
Rh 0.555 0.445 0.361
Rh 0.807 0.193 0.570
Rh 0.807 0.193 0.930

=====

Entry 3:
Density functional theory data (PBE-GGA) for an optimized crystal structure of LiAsPbBr2.

Spin magnetization (μB per cell): 0.00
Raw total energy (eV/cell): -14.87
Energy above the lowest structure with this stoichiometry (eV/atom): 0.0000
Energy relative to the elements, uncorrected (eV/atom): -0.25

a = 4.911 Å, b = 4.911 Å, c = 5.233 Å
α = 90.00°, β = 90.00°, γ = 90.00°
Fractional positions:
Li 0.000 0.000 0.000
As 0.000 0.000 0.500
Pb 0.500 0.500 0.500
Br 0.000 0.500 0.000
Br 0.500 0.000 0.000

=====

Entry 4:
Density functional theory data (PBE-GGA) for an optimized crystal structure of LiHfBi2.

Calculated formation energy (eV/atom): -0.190
Spin magnetization (μB per cell): 0.00
Raw total energy (eV/cell): -20.39
Energy above the lowest structure with this stoichiometry (eV/atom): 0.0000

a = 3.425 Å, b = 3.425 Å, c = 8.445 Å
α = 90.00°, β = 90.00°, γ = 90.00°
Fractional positions:
Li 0.000 0.000 0.000
Hf 0.000 0.000 0.500
Bi 0.500 0.500 0.250
Bi 0.500 0.500 0.750